(1)
## Pu2Si4Ir3Os (GGA-PBE)

Data for Pu2Si4Ir3Os after structural relaxation.

CIF file:
```
data_Pu2Si4Ir3Os
_chemical_formula_sum 'Pu2 Si4 Ir3 Os1'
_space_group_name_H-M_alt 'P -4 m 2'
_space_group_IT_number 115
_space_group_name_Hall 'P -4 -2'
_cell_length_a 4.174
_cell_length_b 4.174
_cell_length_c 9.761
_cell_angle_alpha 90.00
_cell_angle_beta 90.00
_cell_angle_gamma 90.00
loop_
_atom_site_label
_atom_site_type_symbol
_atom_site_fract_x
_atom_site_fract_y
_atom_site_fract_z
Pu1 Pu 0.000 0.500 0.249
Si1 Si 0.000 0.000 0.000
Si2 Si 0.000 0.500 0.627
Si3 Si 0.500 0.500 0.000
Ir1 Ir 0.000 0.500 0.873
Ir2 Ir 0.500 0.500 0.500
Os1 Os 0.000 0.000 0.500
```

## Properties
- density of states at the Fermi level (states/eV per cell) = 24.01
- formation energy (no corrections) (kJ/mol of formula units) = -749
- size of the total moment (μB per cell) = 10.15

=====

(2)
## Pu2Si6IrOs (GGA-PBE)

Data for Pu2Si6IrOs after structural relaxation.

CIF file:
```
data_Pu2Si6IrOs
_chemical_formula_sum 'Pu8 Si24 Ir4 Os4'
_space_group_name_H-M_alt 'F m -3 m'
_space_group_IT_number 225
_space_group_name_Hall '-F 4 2 3'
_cell_length_a 9.316
_cell_length_b 9.316
_cell_length_c 9.316
_cell_angle_alpha 90.00
_cell_angle_beta 90.00
_cell_angle_gamma 90.00
loop_
_atom_site_label
_atom_site_type_symbol
_atom_site_fract_x
_atom_site_fract_y
_atom_site_fract_z
Pu1 Pu 0.250 0.250 0.250
Si1 Si 0.000 0.000 0.250
Ir1 Ir 0.000 0.000 0.000
Os1 Os 0.000 0.000 0.500
```

## Properties
- density of states at the Fermi level (states/eV per cell) = 97.09
- formation energy (no corrections) (kJ/mol of formula units) = 190
- size of the total moment (μB per cell) = 44.18

=====

(3)
## PuSi2IrOs (GGA-PBE)

Data for PuSi2IrOs after structural relaxation.

CIF file:
```
data_PuSi2IrOs
_chemical_formula_sum 'Pu2 Si4 Ir2 Os2'
_space_group_name_H-M_alt 'I -4 m 2'
_space_group_IT_number 119
_space_group_name_Hall 'I -4 -2'
_cell_length_a 4.118
_cell_length_b 4.118
_cell_length_c 9.959
_cell_angle_alpha 90.00
_cell_angle_beta 90.00
_cell_angle_gamma 90.00
loop_
_atom_site_label
_atom_site_type_symbol
_atom_site_fract_x
_atom_site_fract_y
_atom_site_fract_z
Pu1 Pu 0.000 0.000 0.000
Si1 Si 0.000 0.000 0.375
Ir1 Ir 0.000 0.500 0.750
Os1 Os 0.000 0.500 0.250
```

## Properties
- density of states at the Fermi level (states/eV per cell) = 25.38
- formation energy (no corrections) (kJ/mol of formula units) = -351
- size of the total moment (μB per cell) = 10.42

=====

(4)
## SmPuIrOs (GGA-PBE)

Data for SmPuIrOs after structural relaxation.

CIF file:
```
data_SmPuIrOs
_chemical_formula_sum 'Sm4 Pu4 Ir4 Os4'
_space_group_name_H-M_alt 'F -4 3 m'
_space_group_IT_number 216
_space_group_name_Hall 'F -4 2 3'
_cell_length_a 6.897
_cell_length_b 6.897
_cell_length_c 6.897
_cell_angle_alpha 90.00
_cell_angle_beta 90.00
_cell_angle_gamma 90.00
loop_
_atom_site_label
_atom_site_type_symbol
_atom_site_fract_x
_atom_site_fract_y
_atom_site_fract_z
Sm1 Sm 0.000 0.000 0.000
Pu1 Pu 0.000 0.000 0.500
Ir1 Ir 0.250 0.250 0.250
Os1 Os 0.250 0.250 0.750
```

## Properties
- density of states at the Fermi level (states/eV per cell) = 27.21
- ΔH_f (0 K) (eV per atom) = -0.178
- size of the total moment (μB per cell) = 16.53

=====

(5)
## TmPuIrOs (GGA-PBE)

Data for TmPuIrOs after structural relaxation.

CIF file:
```
data_TmPuIrOs
_chemical_formula_sum 'Tm4 Pu4 Ir4 Os4'
_space_group_name_H-M_alt 'F -4 3 m'
_space_group_IT_number 216
_space_group_name_Hall 'F -4 2 3'
_cell_length_a 6.777
_cell_length_b 6.777
_cell_length_c 6.777
_cell_angle_alpha 90.00
_cell_angle_beta 90.00
_cell_angle_gamma 90.00
loop_
_atom_site_label
_atom_site_type_symbol
_atom_site_fract_x
_atom_site_fract_y
_atom_site_fract_z
Tm1 Tm 0.000 0.000 0.000
Pu1 Pu 0.000 0.000 0.500
Ir1 Ir 0.250 0.250 0.750
Os1 Os 0.250 0.250 0.250
```

## Properties
- density of states at the Fermi level (states/eV per cell) = 23.44
- ΔH_f (0 K) (eV per atom) = -0.351
- size of the total moment (μB per cell) = 16.73

=====

(6)
## YPuIrOs (GGA-PBE)

Data for YPuIrOs after structural relaxation.

CIF file:
```
data_YPuIrOs
_chemical_formula_sum 'Y4 Pu4 Ir4 Os4'
_space_group_name_H-M_alt 'F -4 3 m'
_space_group_IT_number 216
_space_group_name_Hall 'F -4 2 3'
_cell_length_a 6.831
_cell_length_b 6.831
_cell_length_c 6.831
_cell_angle_alpha 90.00
_cell_angle_beta 90.00
_cell_angle_gamma 90.00
loop_
_atom_site_label
_atom_site_type_symbol
_atom_site_fract_x
_atom_site_fract_y
_atom_site_fract_z
Y1 Y 0.000 0.000 0.000
Pu1 Pu 0.000 0.000 0.500
Ir1 Ir 0.250 0.250 0.750
Os1 Os 0.250 0.250 0.250
```

## Properties
- density of states at the Fermi level (states/eV per cell) = 25.12
- ΔH_f (0 K) (eV per atom) = -0.271
- size of the total moment (μB per cell) = 16.65